(1)
## InBSN2 (PBE)

Data for an optimized crystal structure of InBSN2.

Space-group type ... No. 123
Size of the total moment ... 3.65 μB/f.u.
Polymorph energy (0 for the lowest one) ... 119.2 kJ per mole of atoms
DOS(E_F) ... 0.54 states/eV/atom
Uncorrected formation energy ... 2324 meV/atom
Final energy ... -3.72 eV per atom

Unit cell a=4.1456 b=4.1456 c=5.4157 alpha=90.00 beta=90.00 gamma=90.00
Closest atoms and distances in Å follow each position.
Element x y z (fractional)
1 B 0.5000 0.5000 0.5000  4 S 2.93
2 S 0.0000 0.0000 0.5000  2 In 2.71, 4 B 2.93
3 N 0.5000 0.0000 0.0000  2 In 2.07
4 In 0.0000 0.0000 0.0000  4 N 2.07
5 N 0.0000 0.5000 0.0000  2 In 2.07

***

(2)
## ScIn4Pd5 (PBE)

Data for an optimized crystal structure of ScIn4Pd5.

Space-group type ... No. 123
Size of the total moment ... 0.00 μB/f.u.
DOS(E_F) ... 0.48 states/eV/atom
Final energy ... -4.92 eV per atom

Unit cell a=3.3315 b=3.3315 c=16.2309 alpha=90.00 beta=90.00 gamma=90.00
Closest atoms and distances in Å follow each position.
Element x y z (fractional)
1 Pd 0.5000 0.5000 0.5000  8 In 2.86
2 In 0.0000 0.0000 0.1983  8 Pd 2.87-2.88
3 Pd 0.5000 0.5000 0.2997  8 In 2.86-2.87
4 In 0.0000 0.0000 0.6003  8 Pd 2.86
5 In 0.0000 0.0000 0.8017  8 Pd 2.87-2.88
6 Sc 0.0000 0.0000 0.0000  8 Pd 2.83
7 Pd 0.5000 0.5000 0.0964  4 Sc 2.83, 4 In 2.88, 1 Pd 3.13
8 Pd 0.5000 0.5000 0.7003  8 In 2.86-2.87
9 Pd 0.5000 0.5000 0.9036  4 Sc 2.83, 4 In 2.88, 1 Pd 3.13
10 In 0.0000 0.0000 0.3997  8 Pd 2.86

***

> Which of these has the highest DOS(E_F)?

InBSN2

***

> What is the size of the total moment in the second record?

0.00 μB/f.u.

***

> What is the size of the total moment in the first record?

3.65 μB/f.u.